[1]
Na2HoNpTe4 | GGA-PBE | relaxed

a = 4.4516 Å, b = 7.7386 Å, c = 7.9515 Å
α = 108.96°, β = 90.00°, γ = 90.00°
Site moments in Bohr magnetons follow the coordinates.
Sites, in units of the cell vectors:
Te 0.5000 0.7510 0.7666  -0.06
Te 0.0000 0.7392 0.2327  -0.02
Te 0.5000 0.2490 0.2334  -0.06
Te 0.0000 0.2608 0.7673  -0.02
Np 0.0000 0.0000 0.0000  3.98
Na 0.0000 0.5000 0.5000  0.00
Na 0.5000 0.0000 0.5000  0.00
Ho 0.5000 0.5000 0.0000  0.03

Values from the calculation:
**Symmetry**: P2/m
**Formation energy without anion corrections**: -101 kJ/mol of atoms
**Crystal system**: monoclinic
**Magnetization**: 4.0 Bohr magnetons per cell

[2]
Na3HoNp2Te6 | GGA-PBE | relaxed

a = 7.7337 Å, b = 7.7337 Å, c = 7.9614 Å
α = 99.32°, β = 99.32°, γ = 120.00°
Site moments in Bohr magnetons follow the coordinates.
Sites, in units of the cell vectors:
Te 0.0780 0.4073 0.2340  -0.05
Te 0.9220 0.5927 0.7660  -0.05
Te 0.7486 0.7486 0.2337  -0.05
Te 0.2514 0.2514 0.7663  -0.05
Te 0.4073 0.0780 0.2340  -0.05
Te 0.5927 0.9220 0.7660  -0.05
Np 0.6667 0.3333 0.0000  4.01
Np 0.3333 0.6667 0.0000  4.01
Ho 0.0000 0.0000 0.0000  0.04
Na 0.5000 0.5000 0.5000  0.00
Na 0.1674 0.8326 0.5000  0.00
Na 0.8326 0.1674 0.5000  0.00

Values from the calculation:
**Symmetry**: C2/m
**Formation energy without anion corrections**: -94 kJ/mol of atoms
**Crystal system**: monoclinic
**Magnetization**: 8.0 Bohr magnetons per cell

[3]
Na3Ho3NpTe8 | GGA-PBE | relaxed

a = 8.7970 Å, b = 8.7962 Å, c = 9.1393 Å
α = 118.78°, β = 90.00°, γ = 120.00°
Site moments in Bohr magnetons follow the coordinates.
Sites, in units of the cell vectors:
Ho 0.5000 0.5000 0.5000  0.00
Ho 0.5000 0.0000 0.5000  0.00
Ho 0.0000 0.5000 0.5000  0.00
Na 0.5000 0.5000 0.0000  0.00
Na 0.0000 0.5000 0.0000  0.00
Na 0.0000 0.0000 0.0000  0.00
Te 0.2437 0.4873 0.7294  -0.06
Te 0.7422 0.9859 0.7294  -0.06
Te 0.7564 0.0141 0.2706  -0.06
Te 0.2578 0.0141 0.2706  -0.06
Te 0.7563 0.5127 0.2706  -0.06
Te 0.2436 0.9859 0.7294  -0.06
Te 0.2560 0.5120 0.2682  0.00
Te 0.7440 0.4880 0.7318  0.00
Np 0.0000 0.0000 0.5000  3.50

Values from the calculation:
**Symmetry**: R-3m
**Formation energy without anion corrections**: -111 kJ/mol of atoms
**Crystal system**: trigonal
**Magnetization**: 3.0 Bohr magnetons per cell

[4]
NaHoNp2Te4 | GGA-PBE | relaxed

a = 4.3847 Å, b = 7.7342 Å, c = 7.6263 Å
α = 109.29°, β = 90.00°, γ = 90.00°
Site moments in Bohr magnetons follow the coordinates.
Sites, in units of the cell vectors:
Te 0.0000 0.7471 0.2448  -0.02
Te 0.5000 0.2540 0.2471  0.03
Te 0.0000 0.2529 0.7552  -0.02
Te 0.5000 0.7460 0.7529  0.03
Np 0.0000 0.5000 0.5000  -4.11
Np 0.5000 0.0000 0.5000  4.18
Ho 0.5000 0.5000 0.0000  -0.05
Na 0.0000 0.0000 0.0000  0.00

Values from the calculation:
**Symmetry**: P2/m
**Formation energy without anion corrections**: -82 kJ/mol of atoms
**Crystal system**: monoclinic
**Magnetization**: 0.1 Bohr magnetons per cell

[5]
Na3HoO3 | GGA-PBE | relaxed

a = 6.9329 Å, b = 6.9329 Å, c = 6.9757 Å
α = 59.78°, β = 59.78°, γ = 57.66°
Sites, in units of the cell vectors:
O 0.9905 0.9905 0.7595
O 0.0001 0.4999 0.2181
O 0.9999 0.5001 0.7819
O 0.5001 0.9999 0.7819
O 0.4999 0.0001 0.2181
O 0.0095 0.0095 0.2405
Na 0.7789 0.2211 0.0000
Na 0.2211 0.7789 0.0000
Na 0.2225 0.2225 0.5272
Na 0.2212 0.7788 0.5000
Na 0.7788 0.2212 0.5000
Na 0.7775 0.7775 0.4728
Ho 0.2188 0.2188 0.0311
Ho 0.7812 0.7812 0.9689

Values from the calculation:
**Symmetry**: Imma
**Formation energy without anion corrections**: -197 kJ/mol of atoms
**Crystal system**: orthorhombic
**Magnetization**: 0.0 Bohr magnetons per cell

[6]
NaHoO | GGA-PBE | relaxed

a = 4.5809 Å, b = 4.5809 Å, c = 6.1793 Å
α = 90.00°, β = 90.00°, γ = 90.00°
Sites, in units of the cell vectors:
Na 0.5000 0.0000 0.4669
Na 0.0000 0.5000 0.5331
Ho 0.0000 0.0000 0.0000
Ho 0.5000 0.5000 0.0000
O 0.5000 0.0000 0.0414
O 0.0000 0.5000 0.9586

Values from the calculation:
**Symmetry**: P4/nmm
**Formation energy without anion corrections**: -166 kJ/mol of atoms
**Crystal system**: tetragonal
**Magnetization**: 0.0 Bohr magnetons per cell

[7]
NaHoO | GGA-PBE | relaxed

a = 3.6723 Å, b = 3.6723 Å, c = 6.7169 Å
α = 90.00°, β = 90.00°, γ = 120.00°
Site moments in Bohr magnetons follow the coordinates.
Sites, in units of the cell vectors:
Na 0.0000 0.0000 0.0009  0.00
O 0.3333 0.6667 0.5352  0.00
Ho 0.6667 0.3333 0.4639  0.12

Values from the calculation:
**Symmetry**: P3m1
**Formation energy without anion corrections**: -165 kJ/mol of atoms
**Crystal system**: trigonal
**Magnetization**: 0.2 Bohr magnetons per cell

[8]
Na2Ho2OsO6 | GGA-PBE | relaxed

a = 5.7089 Å, b = 5.7089 Å, c = 5.9009 Å
α = 97.49°, β = 97.49°, γ = 120.24°
Site moments in Bohr magnetons follow the coordinates.
Sites, in units of the cell vectors:
Os 0.0000 0.0000 0.5000  1.44
Ho 0.3384 0.6616 0.5000  0.03
Ho 0.6616 0.3384 0.5000  0.03
O 0.6437 0.9588 0.3087  0.08
O 0.0412 0.3563 0.6913  0.08
O 0.7500 0.7500 0.7053  0.04
O 0.9588 0.6437 0.3087  0.08
O 0.2500 0.2500 0.2947  0.04
O 0.3563 0.0412 0.6913  0.08
Na 0.8529 0.1471 0.0000  0.00
Na 0.1471 0.8529 0.0000  0.00

Values from the calculation:
**Symmetry**: C2/m
**Formation energy without anion corrections**: -212 kJ/mol of atoms
**Crystal system**: monoclinic
**Magnetization**: 2.0 Bohr magnetons per cell

[9]
Na2HoOsO6 | GGA-PBE | relaxed

a = 5.6264 Å, b = 5.7281 Å, c = 8.0416 Å
α = 90.00°, β = 90.26°, γ = 90.00°
Site moments in Bohr magnetons follow the coordinates.
Sites, in units of the cell vectors:
Na 0.0069 0.9654 0.2504  0.00
Na 0.5069 0.5346 0.7504  0.00
Na 0.4931 0.4654 0.2496  0.00
Na 0.9931 0.0346 0.7496  0.00
Os 0.5000 0.0000 0.5000  0.05
Os 0.0000 0.5000 0.0000  0.05
Ho 0.0000 0.5000 0.5000  0.00
Ho 0.5000 0.0000 0.0000  0.00
O 0.8174 0.7727 0.9560  0.00
O 0.7733 0.8132 0.5396  0.00
O 0.4198 0.9775 0.7290  0.00
O 0.0802 0.4775 0.7710  0.00
O 0.2733 0.6868 0.0396  0.00
O 0.9198 0.5225 0.2290  0.00
O 0.2267 0.1868 0.4604  0.00
O 0.1826 0.2273 0.0440  0.00
O 0.6826 0.2727 0.5440  0.00
O 0.7267 0.3132 0.9604  0.00
O 0.5802 0.0225 0.2710  0.00
O 0.3174 0.7273 0.4560  0.00

Values from the calculation:
**Symmetry**: P2_1/c
**Formation energy without anion corrections**: -183 kJ/mol of atoms
**Crystal system**: monoclinic
**Magnetization**: 0.2 Bohr magnetons per cell

[10]
Na3Ho3OsO8 | GGA-PBE | relaxed

a = 6.6596 Å, b = 6.6596 Å, c = 6.7649 Å
α = 119.49°, β = 90.00°, γ = 120.00°
Site moments in Bohr magnetons follow the coordinates.
Sites, in units of the cell vectors:
O 0.2198 0.9799 0.6997  0.07
O 0.2399 0.0201 0.3003  0.07
O 0.2198 0.4397 0.6997  0.07
O 0.7601 0.9799 0.6997  0.07
O 0.7365 0.4730 0.7095  0.00
O 0.2635 0.5270 0.2905  0.00
O 0.7802 0.5603 0.3003  0.07
O 0.7802 0.0201 0.3003  0.07
Na 0.0000 0.5000 0.0000  0.00
Na 0.5000 0.5000 0.0000  0.00
Na 0.0000 0.0000 0.0000  0.00
Ho 0.5000 0.0000 0.5000  0.01
Ho 0.5000 0.5000 0.5000  0.01
Ho 0.0000 0.5000 0.5000  0.01
Os 0.0000 0.0000 0.5000  1.43

Values from the calculation:
**Symmetry**: R-3m
**Formation energy without anion corrections**: -231 kJ/mol of atoms
**Crystal system**: trigonal
**Magnetization**: 2.0 Bohr magnetons per cell

[11]
NaHoPO4 | GGA-PBE | relaxed

a = 6.1404 Å, b = 6.2737 Å, c = 6.2737 Å
α = 61.05°, β = 60.70°, γ = 60.70°
Site moments in Bohr magnetons follow the coordinates.
Sites, in units of the cell vectors:
O 0.2575 0.2843 0.7843  0.00
O 0.6740 0.2843 0.7843  0.00
O 0.7384 0.3103 0.2128  0.00
O 0.7425 0.7157 0.2157  0.00
O 0.3260 0.7157 0.2157  0.00
O 0.7384 0.7128 0.8103  0.00
O 0.2616 0.6897 0.7872  0.00
O 0.2616 0.2872 0.1897  0.00
Na 0.0000 0.0000 0.5000  0.01
Na 0.5000 0.0000 0.5000  0.01
Ho 0.0000 0.5000 0.5000  0.09
Ho 0.0000 0.0000 0.0000  0.09
P 0.3612 0.3888 0.8888  0.00
P 0.6388 0.6112 0.1112  0.00

Values from the calculation:
**Symmetry**: Imma
**Formation energy without anion corrections**: -230 kJ/mol of atoms
**Crystal system**: orthorhombic
**Magnetization**: 0.3 Bohr magnetons per cell

[12]
NaHoP4O12 | GGA-PBE | relaxed

a = 7.2527 Å, b = 9.7949 Å, c = 13.2232 Å
α = 90.00°, β = 90.00°, γ = 89.48°
Sites, in units of the cell vectors:
O 0.7851 0.9061 0.6151
O 0.4070 0.3009 0.3343
O 0.7067 0.8973 0.3492
O 0.8675 0.8541 0.8142
O 0.8289 0.1500 0.3653
O 0.5753 0.3025 0.1151
O 0.0833 0.7015 0.9180
O 0.0753 0.8025 0.3849
O 0.7254 0.1060 0.7933
O 0.2933 0.1027 0.6508
O 0.6711 0.3500 0.8653
O 0.2851 0.4061 0.8849
O 0.2152 0.6425 0.5188
O 0.1325 0.1459 0.1858
O 0.2189 0.2135 0.0122
O 0.2848 0.8575 0.0188
O 0.9247 0.1975 0.6151
O 0.1711 0.8500 0.6347
O 0.7189 0.7135 0.4878
O 0.5833 0.2015 0.5820
O 0.7746 0.3940 0.2933
O 0.7152 0.1425 0.9812
O 0.5930 0.6991 0.6657
O 0.4293 0.1634 0.8744
O 0.2149 0.0939 0.3849
O 0.4167 0.7985 0.4180
O 0.7367 0.4120 0.6633
O 0.9070 0.8009 0.1657
O 0.3289 0.6500 0.1347
O 0.2067 0.3973 0.1508
O 0.4247 0.6975 0.8849
O 0.7933 0.6027 0.8492
O 0.2254 0.6060 0.7067
O 0.3675 0.3541 0.6858
O 0.2746 0.8940 0.2067
O 0.9167 0.2985 0.0820
O 0.5707 0.8366 0.1256
O 0.2367 0.9120 0.8367
O 0.7149 0.5939 0.1151
O 0.6325 0.6459 0.3142
O 0.0707 0.3366 0.3744
O 0.2811 0.2865 0.5122
O 0.7811 0.7865 0.9878
O 0.0930 0.1991 0.8343
O 0.7633 0.0880 0.1633
O 0.9293 0.6634 0.6256
O 0.2633 0.5880 0.3367
O 0.7848 0.3575 0.4812
P 0.8734 0.7349 0.8849
P 0.7494 0.7558 0.6037
P 0.6465 0.1986 0.8730
P 0.6266 0.7651 0.3849
P 0.2506 0.2442 0.3963
P 0.7506 0.7442 0.1037
P 0.2333 0.7069 0.4066
P 0.2494 0.2558 0.8963
P 0.1465 0.6986 0.6270
P 0.7333 0.2069 0.0934
P 0.8535 0.3014 0.3730
P 0.1266 0.2651 0.1151
P 0.2667 0.7931 0.9066
P 0.3734 0.2349 0.6151
P 0.7667 0.2931 0.5934
P 0.3535 0.8014 0.1270
Na 0.9996 0.4389 0.7761
Na 0.5004 0.0611 0.2761
Na 0.0004 0.5611 0.2239
Na 0.4996 0.9389 0.7239
Ho 0.5116 0.5216 0.7774
Ho 0.9884 0.9784 0.2774
Ho 0.0116 0.0216 0.7226
Ho 0.4884 0.4784 0.2226

Values from the calculation:
**Symmetry**: P2_1/c
**Formation energy without anion corrections**: -235 kJ/mol of atoms
**Crystal system**: monoclinic
**Magnetization**: 0.0 Bohr magnetons per cell